# 1
HgAsAu | PBE-GGA | relaxed

Cell lengths 2.9213, 6.8810, 7.1483 Å; angles 109.18, 90.43, 102.09 degrees
Closest atoms and distances in Å follow each position.
Space group P-1 (No. 2)
Asymmetric unit:
Hg (0.1684, 0.3356, 0.1191)  1 As 2.78, 2 Hg 2.92, 3 Au 3.01-3.09
As (0.0364, 0.0593, 0.7289)  2 Au 2.57-2.73, 1 Hg 2.78
Au (0.1639, 0.3349, 0.5517)  2 As 2.57-2.73

Calculated values
* DFT formation energy: 0.3 eV per formula unit
* energy relative to the lowest polymorph listed for this composition: 10 meV/atom


# 2
ZrPaPbO6 | PBE-GGA | relaxed

Cell lengths 5.7958, 5.7958, 9.7456 Å; angles 90.00, 90.00, 120.00 degrees
Closest atoms and distances in Å follow each position.
Space group P-31c (No. 163)
Asymmetric unit:
Zr (0.3333, 0.6667, 0.2500)  6 O 2.13
Pa (0.3333, 0.6667, 0.7500)  6 O 2.18
Pb (0.0000, 0.0000, 0.0000)  6 O 2.48
O (0.0062, 0.3618, 0.1388)  1 Zr 2.13, 1 Pa 2.18

Calculated values
* raw formation energy: -2.66 eV/atom


# 3
CrIn3W | PBE-GGA | relaxed

Cell lengths 5.2487, 5.2487, 5.2487 Å; angles 90.00, 90.00, 90.00 degrees
Closest atoms and distances in Å follow each position.
Space group Pm-3m (No. 221)
Asymmetric unit:
Cr (0.0000, 0.0000, 0.0000)  12 In 3.71
In (0.0000, 0.5000, 0.5000)  2 W 2.62
W (0.5000, 0.5000, 0.5000)  6 In 2.62

Calculated values
* DFT formation energy: 7.9 eV per formula unit
* energy relative to the lowest polymorph listed for this composition: 94 meV/atom


# 4
CdAgRh2 | PBE-GGA | relaxed

Cell lengths 6.4281, 6.4281, 6.4281 Å; angles 90.00, 90.00, 90.00 degrees
Closest atoms and distances in Å follow each position.
Space group F-43m (No. 216)
Asymmetric unit:
Cd (0.0000, 0.0000, 0.0000)  4 Rh 2.78, 4 Ag 2.78
Ag (0.2500, 0.2500, 0.2500)  4 Cd 2.78, 4 Rh 2.78
Rh (0.0000, 0.0000, 0.5000)  4 Ag 2.78, 4 Rh 2.78
Rh (0.2500, 0.2500, 0.7500)  4 Cd 2.78, 4 Rh 2.78

Calculated values
* DFT formation energy: 0.7 eV per formula unit


# 5
Cs3Re2Cl8 | PBE-GGA | relaxed

Cell lengths 7.5991, 7.5991, 26.9285 Å; angles 90.00, 90.00, 120.00 degrees
Closest atoms and distances in Å follow each position.
Space group R-3m (No. 166, hexagonal axes)
Asymmetric unit:
Cs (0.0000, 0.0000, 0.0000)  6 Cl 3.66
Cs (0.0000, 0.0000, 0.2317)  1 Cl 3.34
Re (0.0000, 0.0000, 0.4577)  1 Re 2.28, 3 Cl 2.35
Cl (0.0000, 0.0000, 0.3557)  1 Re 2.75
Cl (0.0206, 0.5103, 0.7793)  1 Re 2.35

Calculated values
* raw formation energy: -1.02 eV/atom


# 6
CdNiW2 | PBE-GGA | relaxed

Cell lengths 2.8210, 2.8210, 27.9350 Å; angles 90.00, 90.00, 120.00 degrees
Closest atoms and distances in Å follow each position.
Space group R3m (No. 160, hexagonal axes)
Asymmetric unit:
Cd (0.0000, 0.0000, 0.0000)  3 Ni 2.80, 6 Cd 2.82, 3 W 3.09
Ni (0.0000, 0.0000, 0.7481)  3 W 2.58, 3 Cd 2.80, 6 Ni 2.82
W (0.0000, 0.0000, 0.2394)  9 W 2.82-2.91, 3 Cd 3.09
W (0.0000, 0.0000, 0.4864)  3 Ni 2.58, 6 W 2.82

Calculated values
* DFT formation energy: 1.5 eV per formula unit


# 7
Pm2NpGe | PBE-GGA | relaxed

Cell lengths 4.7843, 4.7843, 4.5041 Å; angles 90.00, 90.00, 90.00 degrees
Closest atoms and distances in Å follow each position.
Space group P4/mmm (No. 123)
Asymmetric unit:
Pm (0.0000, 0.5000, 0.0000)  4 Ge 3.29, 4 Np 3.29, 4 Pm 3.38
Np (0.0000, 0.0000, 0.5000)  8 Pm 3.29, 4 Ge 3.38
Ge (0.5000, 0.5000, 0.5000)  8 Pm 3.29, 4 Np 3.38

Calculated values
* DFT formation energy: -0.1 eV per formula unit
* energy relative to the lowest polymorph listed for this composition: 0 meV/atom


# 8
LaZrW2 | PBE-GGA | relaxed

Cell lengths 6.9262, 6.9262, 6.9262 Å; angles 90.00, 90.00, 90.00 degrees
Closest atoms and distances in Å follow each position.
Space group Fm-3m (No. 225)
Asymmetric unit:
La (0.0000, 0.0000, 0.0000)  8 W 3.00
Zr (0.0000, 0.0000, 0.5000)  8 W 3.00
W (0.2500, 0.2500, 0.2500)  4 Zr 3.00, 4 La 3.00

Calculated values
* DFT formation energy: 2.8 eV per formula unit
* energy relative to the lowest polymorph listed for this composition: 457 meV/atom


# 9
BaTcAgO4 | PBE-GGA | relaxed

Cell lengths 9.1999, 9.1999, 9.1999 Å; angles 90.00, 90.00, 90.00 degrees
Closest atoms and distances in Å follow each position.
Space group F-43m (No. 216)
Asymmetric unit:
Ba (0.0000, 0.0000, 0.0000)  12 O 3.85, 4 Ag 3.98
Tc (0.0000, 0.0000, 0.5000)  4 O 1.81
Ag (0.2500, 0.2500, 0.2500)  4 O 2.17
O (0.1137, 0.1137, 0.3863)  1 Tc 1.81

Calculated values
* raw formation energy: -1.02 eV/atom


# 10
Hg3TeAs | PBE-GGA | relaxed

Cell lengths 5.7808, 5.7808, 5.7808 Å; angles 90.00, 90.00, 90.00 degrees
Closest atoms and distances in Å follow each position.
Space group Pm-3m (No. 221)
Asymmetric unit:
Hg (0.0000, 0.0000, 0.5000)  2 Te 2.89
Te (0.0000, 0.0000, 0.0000)  6 Hg 2.89
As (0.5000, 0.5000, 0.5000)  12 Hg 4.09

Calculated values
* raw formation energy: 0.64 eV/atom
* energy relative to the lowest polymorph listed for this composition: 576 meV/atom


# 11
KZnAu2 | PBE-GGA | relaxed

Cell lengths 3.6099, 3.6099, 7.2977 Å; angles 90.00, 90.00, 90.00 degrees
Closest atoms and distances in Å follow each position.
Space group P4mm (No. 99)
Asymmetric unit:
K (0.0000, 0.0000, 0.0000)  5 Au 3.33-3.45, 4 K 3.61, 4 Zn 3.62
Zn (0.5000, 0.5000, 0.3520)  5 Au 2.59-2.70
Au (0.0000, 0.0000, 0.4732)  4 Zn 2.70
Au (0.5000, 0.5000, 0.7070)  1 Zn 2.59

Calculated values
* DFT formation energy: -0.1 eV per formula unit


# 12
RbCoTcCl6 | PBE-GGA | relaxed

Cell lengths 6.3331, 6.3331, 7.4611 Å; angles 90.00, 90.00, 120.00 degrees
Closest atoms and distances in Å follow each position.
Space group P312 (No. 149)
Asymmetric unit:
Rb (0.0000, 0.0000, 0.0000)  6 Cl 3.33
Co (0.6667, 0.3333, 0.5000)  6 Cl 2.46
Tc (0.3333, 0.6667, 0.5000)  6 Cl 2.40
Cl (0.0068, 0.3725, 0.3171)  1 Tc 2.40, 1 Co 2.46

Calculated values
* raw formation energy: -0.90 eV/atom


# 13
Pr4NdGa4 | PBE-GGA | relaxed

Cell lengths 10.4095, 10.4095, 4.9111 Å; angles 90.00, 90.00, 90.00 degrees
Closest atoms and distances in Å follow each position.
Space group I4/m (No. 87)
Asymmetric unit:
Pr (0.1340, 0.3536, 0.0000)  4 Ga 3.05-3.19
Nd (0.0000, 0.0000, 0.0000)  8 Ga 3.10
Ga (0.0703, 0.1684, 0.5000)  2 Ga 2.69

Calculated values
* DFT formation energy: -3.5 eV per formula unit


# 14
Ag2MoRh | PBE-GGA | relaxed

Cell lengths 3.8092, 3.8092, 8.9738 Å; angles 90.00, 90.00, 90.00 degrees
Closest atoms and distances in Å follow each position.
Space group I4/mmm (No. 139)
Asymmetric unit:
Ag (0.0000, 0.5000, 0.2500)  4 Ag 2.69, 4 Mo 2.94, 4 Rh 2.94
Mo (0.0000, 0.0000, 0.0000)  4 Rh 2.69, 8 Ag 2.94
Rh (0.0000, 0.0000, 0.5000)  4 Mo 2.69, 8 Ag 2.94

Calculated values
* DFT formation energy: 1.8 eV per formula unit
* energy relative to the lowest polymorph listed for this composition: 339 meV/atom


# 15
Ce2YZn2Au2 | PBE-GGA | relaxed

Cell lengths 4.5100, 4.5100, 26.1035 Å; angles 90.00, 90.00, 120.00 degrees
Closest atoms and distances in Å follow each position.
Space group R-3m (No. 166, hexagonal axes)
Asymmetric unit:
Ce (0.0000, 0.0000, 0.1379)  3 Ce 3.01, 4 Zn 3.14-3.25, 3 Au 3.18
Y (0.0000, 0.0000, 0.0000)  6 Au 3.15, 6 Zn 3.20
Zn (0.0000, 0.0000, 0.2624)  3 Au 2.61
Au (0.0000, 0.0000, 0.4011)  3 Zn 2.61

Calculated values
* DFT formation energy: -3.4 eV per formula unit


# 16
Ag2TeAuS4 | PBE-GGA | relaxed

Cell lengths 11.1907, 10.6252, 8.0213 Å; angles 90.00, 133.59, 90.00 degrees
Closest atoms and distances in Å follow each position.
Space group C2/c (No. 15)
Asymmetric unit:
Ag (0.0000, 0.0000, 0.0000)  2 S 2.47
Ag (0.2500, 0.2500, 0.0000)  4 S 2.56-2.75
Te (0.2500, 0.2500, 0.5000)  4 S 2.67-2.71
Au (0.0000, 0.5000, 0.0000)  4 S 2.42-2.44
S (0.0455, 0.2750, 0.0445)  1 Au 2.42, 1 Ag 2.56, 1 Te 2.67
S (0.2455, 0.0018, 0.4184)  1 Au 2.44, 1 Ag 2.47, 1 Te 2.71

Calculated values
* raw formation energy: 0.06 eV/atom


# 17
Rb3HoSc2Se6 | PBE-GGA | relaxed

Cell lengths 7.1110, 12.3164, 8.2902 Å; angles 90.00, 106.63, 90.00 degrees
Closest atoms and distances in Å follow each position.
Space group C2/m (No. 12)
Asymmetric unit:
Rb (0.0000, 0.0000, 0.0000)  6 Se 3.37-3.45
Rb (0.0000, 0.3356, 0.0000)  6 Se 3.39-3.45
Ho (0.0000, 0.5000, 0.5000)  6 Se 2.87
Sc (0.0000, 0.1669, 0.5000)  6 Se 2.77-2.78
Se (0.2188, 0.0000, 0.6885)  2 Sc 2.77, 1 Ho 2.87
Se (0.2352, 0.3280, 0.6893)  2 Sc 2.77-2.78, 1 Ho 2.87

Calculated values
* raw formation energy: -1.63 eV/atom


# 18
Li2Ga3Pd4 | PBE-GGA | relaxed

Cell lengths 4.0334, 4.4890, 8.1473 Å; angles 81.04, 89.95, 63.30 degrees
Closest atoms and distances in Å follow each position.
Space group P-1 (No. 2)
Asymmetric unit:
Li (0.1779, 0.1430, 0.2200)  7 Pd 2.60-2.76, 4 Ga 2.81-2.91
Ga (0.1567, 0.1880, 0.5736)  4 Pd 2.55-2.68, 1 Ga 2.58, 2 Li 2.81
Ga (0.5000, 0.5000, 0.0000)  8 Pd 2.64-2.70, 4 Li 2.90-2.91
Pd (0.1630, 0.1746, 0.8917)  4 Ga 2.58-2.70, 4 Li 2.63-2.73, 2 Pd 2.88
Pd (0.4766, 0.5486, 0.6706)  4 Ga 2.55-2.68, 3 Li 2.60-2.76

Calculated values
* DFT formation energy: -5.6 eV per formula unit
* energy relative to the lowest polymorph listed for this composition: 0 meV/atom


# 19
SrTb2Pd | PBE-GGA | relaxed

Cell lengths 3.6114, 3.6114, 9.6542 Å; angles 90.00, 90.00, 90.00 degrees
Closest atoms and distances in Å follow each position.
Space group P4/mmm (No. 123)
Asymmetric unit:
Sr (0.0000, 0.0000, 0.0000)  4 Sr 3.61
Tb (0.5000, 0.5000, 0.3292)  4 Pd 3.04, 1 Tb 3.30
Pd (0.0000, 0.0000, 0.5000)  8 Tb 3.04

Calculated values
* DFT formation energy: -1.2 eV per formula unit
* energy relative to the lowest polymorph listed for this composition: 0 meV/atom


# 20
GdY2 | PBE-GGA | relaxed

Cell lengths 3.5878, 3.5878, 15.1254 Å; angles 90.00, 90.00, 90.00 degrees
Closest atoms and distances in Å follow each position.
Space group I4/mmm (No. 139)
Asymmetric unit:
Gd (0.0000, 0.0000, 0.0000)  8 Y 3.58, 4 Gd 3.59
Y (0.0000, 0.0000, 0.3326)  8 Y 3.56-3.59, 4 Gd 3.58

Calculated values
* DFT formation energy: 0.1 eV per formula unit
* energy relative to the lowest polymorph listed for this composition: 0 meV/atom


# 21
BeIrBr | PBE-GGA | relaxed

Cell lengths 5.7457, 5.7457, 5.7457 Å; angles 90.00, 90.00, 90.00 degrees
Closest atoms and distances in Å follow each position.
Space group F-43m (No. 216)
Asymmetric unit:
Be (0.0000, 0.0000, 0.0000)  4 Br 2.49, 4 Ir 2.49
Ir (0.2500, 0.2500, 0.2500)  4 Be 2.49
Br (0.2500, 0.2500, 0.7500)  4 Be 2.49

Calculated values
* raw formation energy: 0.85 eV/atom
* energy relative to the lowest polymorph listed for this composition: 1153 meV/atom


# 22
LiYZrSn | PBE-GGA | relaxed

Cell lengths 7.1436, 7.1436, 7.1436 Å; angles 90.00, 90.00, 90.00 degrees
Closest atoms and distances in Å follow each position.
Space group F-43m (No. 216)
Asymmetric unit:
Li (0.0000, 0.0000, 0.0000)  4 Y 3.09, 4 Zr 3.09
Y (0.2500, 0.2500, 0.2500)  4 Sn 3.09, 4 Li 3.09
Zr (0.2500, 0.2500, 0.7500)  4 Sn 3.09, 4 Li 3.09
Sn (0.0000, 0.0000, 0.5000)  4 Zr 3.09, 4 Y 3.09

Calculated values
* DFT formation energy: -1.1 eV per formula unit


# 23
Cs2NaAgS | PBE-GGA | relaxed

Cell lengths 6.9286, 6.9286, 4.8353 Å; angles 90.00, 90.00, 90.00 degrees
Closest atoms and distances in Å follow each position.
Space group P4/mmm (No. 123)
Asymmetric unit:
Cs (0.0000, 0.5000, 0.0000)  2 Na 3.46
Na (0.0000, 0.0000, 0.0000)  2 S 2.42
Ag (0.5000, 0.5000, 0.5000)  8 Cs 4.22
S (0.0000, 0.0000, 0.5000)  2 Na 2.42

Calculated values
* raw formation energy: -0.31 eV/atom
* energy relative to the lowest polymorph listed for this composition: 198 meV/atom


# 24
ReAg2Cl | PBE-GGA | relaxed

Cell lengths 4.2921, 4.2921, 8.0749 Å; angles 90.00, 90.00, 90.00 degrees
Closest atoms and distances in Å follow each position.
Space group I-4m2 (No. 119)
Asymmetric unit:
Re (0.0000, 0.0000, 0.0000)  4 Cl 2.95, 8 Ag 2.95-3.03
Ag (0.0000, 0.0000, 0.5000)  4 Cl 2.95, 4 Ag 2.95, 4 Re 3.03
Ag (0.0000, 0.5000, 0.7500)  4 Re 2.95, 4 Ag 2.95, 4 Cl 3.03
Cl (0.0000, 0.5000, 0.2500)  4 Re 2.95, 8 Ag 2.95-3.03

Calculated values
* raw formation energy: 1.15 eV/atom
* energy relative to the lowest polymorph listed for this composition: 756 meV/atom


# 25
LaO3 | PBE-GGA | relaxed

Cell lengths 6.3244, 4.6782, 7.0249 Å; angles 90.00, 93.87, 90.00 degrees
Closest atoms and distances in Å follow each position.
Space group C2/m (No. 12)
Asymmetric unit:
La (0.2473, 0.0000, 0.2473)  9 O 2.44-2.71
O (0.0000, 0.3401, 0.0000)  1 O 1.50
O (0.1502, 0.0000, 0.7062)  1 O 1.48
O (0.1536, 0.5000, 0.3965)  1 O 1.48

Calculated values
* raw formation energy: -2.10 eV/atom
* energy relative to the lowest polymorph listed for this composition: 38 meV/atom


Going through the records in order, we get DFT total energy values of -2.6290 -8.3824 -4.5758 -4.4386 -4.2639 -7.7857 -6.7977 -9.1394 -6.0159 -1.0950 -2.2647 -4.1821 -4.3888 -5.5140 -4.4067 -3.5214 -5.0543 -4.3626 -4.3413 -8.9793 -3.9011 -5.5195 -2.3127 -3.8534 -7.0520 eV/atom.
Going through the records in order, we get total magnetization values of 0.00 0.00 0.47 1.42 3.04 0.00 4.90 0.00 1.72 1.95 0.00 5.00 0.00 1.14 0.65 0.00 0.00 0.00 0.00 7.29 0.00 0.00 0.00 3.49 0.00 μB per formula unit.